No. 1
Density functional theory data (PBE-GGA) for Er2Cd3In after structural relaxation.

```
Er2Cd3In
1.0
0.000 4.958 8.549
3.452 0.000 8.549
3.452 4.958 0.000
Er Cd In
4 6 2
Cartesian
5.182 4.958 8.549
1.726 2.479 4.274
5.177 7.437 12.823
1.722 4.958 8.549
3.452 4.958 2.831
3.452 2.468 7.134
3.452 2.468 9.963
3.452 7.449 7.134
3.452 7.449 9.963
3.452 4.958 14.266
3.452 4.958 5.699
3.452 4.958 11.398
```

Calculated formation energy = -32.3 kJ/mol of atoms
Space-group type = Fmmm
N(E_F) = 8.49 states/eV per cell

No. 2
Density functional theory data (PBE-GGA) for Er4Cd5In2 after structural relaxation.

```
Er4Cd5In2
1.0
7.919 0.000 0.000
0.000 3.485 0.000
-1.015 0.000 10.101
Er Cd In
4 5 2
Cartesian
0.947 0.000 3.957
1.258 0.000 9.469
5.646 0.000 0.631
5.956 0.000 6.143
0.807 1.742 6.664
3.306 1.742 2.062
3.452 1.742 5.050
3.598 1.742 8.038
6.097 1.742 3.437
0.385 1.742 1.386
6.518 1.742 8.714
```

Calculated formation energy = -26.6 kJ/mol of atoms
Space-group type = P2/m
N(E_F) = 7.63 states/eV per cell

No. 3
Density functional theory data (PBE-GGA) for Er4Cd2In after structural relaxation.

```
Er4Cd2In
1.0
2.518 1.454 9.614
-2.518 1.454 9.614
0.000 -2.907 9.614
Er Cd In
4 2 1
Cartesian
0.000 0.000 3.510
0.000 0.000 8.559
0.000 0.000 20.283
0.000 0.000 25.332
0.000 0.000 11.589
0.000 0.000 17.253
0.000 0.000 14.421
```

Calculated formation energy = -0.8 kJ/mol of atoms
Space-group type = R-3m
N(E_F) = 9.29 states/eV per cell

No. 4
Density functional theory data (PBE-GGA) for Er3Cd4In2 after structural relaxation.

```
Er3Cd4In2
1.0
5.505 -2.463 0.000
5.505 2.463 0.000
-4.462 0.000 8.122
Er Cd In
3 4 2
Cartesian
0.000 0.000 0.000
2.206 0.000 2.680
4.341 0.000 5.442
-1.015 0.000 3.326
-1.078 0.000 7.824
7.625 0.000 0.298
7.563 0.000 4.796
1.067 0.000 5.901
5.480 0.000 2.222
```

Calculated formation energy = -34.3 kJ/mol of atoms
Space-group type = C2/m
N(E_F) = 4.66 states/eV per cell

No. 5
Density functional theory data (PBE-GGA) for Er7CdIn4 after structural relaxation.

```
Er7CdIn4
1.0
7.173 -2.800 0.000
7.173 2.800 0.000
-6.724 0.000 8.793
Er Cd In
7 1 4
Cartesian
0.000 0.000 0.000
-1.711 0.000 5.232
3.181 0.000 1.156
1.649 0.000 5.899
5.973 0.000 2.893
4.441 0.000 7.636
9.333 0.000 3.560
7.173 0.000 0.000
-4.282 0.000 6.827
0.627 0.000 2.983
6.995 0.000 5.809
11.904 0.000 1.966
```

Calculated formation energy = -10.2 kJ/mol of atoms
Space-group type = C2/m
N(E_F) = 13.42 states/eV per cell

No. 6
Density functional theory data (PBE-GGA) for Er2CdIn2 after structural relaxation.

```
Er2CdIn2
1.0
3.494 0.000 0.000
-1.747 3.026 0.000
0.000 0.000 13.057
Er Cd In
2 1 2
Cartesian
0.000 2.017 2.512
1.747 1.009 10.545
0.000 0.000 0.000
0.000 0.000 5.083
0.000 0.000 7.975
```

Calculated formation energy = -15.0 kJ/mol of atoms
Space-group type = P-3m1
N(E_F) = 3.69 states/eV per cell